1.
A plane-wave DFT calculation with PBE was carried out for crystalline NaTlAsPb at its relaxed geometry.

Structure (CIF):
```
data_NaTlAsPb
_symmetry_space_group_name_H-M 'P 1'
_symmetry_Int_Tables_number 1
_symmetry_space_group_name_Hall 'P 1'
_cell_length_a 7.567
_cell_length_b 7.567
_cell_length_c 7.567
_cell_angle_alpha 90.00
_cell_angle_beta 90.00
_cell_angle_gamma 90.00
loop_
_atom_site_label
_atom_site_type_symbol
_atom_site_fract_x
_atom_site_fract_y
_atom_site_fract_z
Na1 Na 0.000 0.000 0.000
Na2 Na 0.000 0.500 0.500
Na3 Na 0.500 0.000 0.500
Na4 Na 0.500 0.500 0.000
Tl1 Tl 0.250 0.250 0.250
Tl2 Tl 0.250 0.750 0.750
Tl3 Tl 0.750 0.250 0.750
Tl4 Tl 0.750 0.750 0.250
As1 As 0.250 0.250 0.750
As2 As 0.250 0.750 0.250
As3 As 0.750 0.250 0.250
As4 As 0.750 0.750 0.750
Pb1 Pb 0.000 0.000 0.500
Pb2 Pb 0.000 0.500 0.000
Pb3 Pb 0.500 0.000 0.000
Pb4 Pb 0.500 0.500 0.500
```

Properties
The space group is F-43m.


2.
A plane-wave DFT calculation with PBE was carried out for crystalline NaAs2Pd at its relaxed geometry.

Structure (CIF):
```
data_NaAs2Pd
_symmetry_space_group_name_H-M 'P 1'
_symmetry_Int_Tables_number 1
_symmetry_space_group_name_Hall 'P 1'
_cell_length_a 3.952
_cell_length_b 4.302
_cell_length_c 5.268
_cell_angle_alpha 90.00
_cell_angle_beta 95.82
_cell_angle_gamma 90.00
loop_
_atom_site_label
_atom_site_type_symbol
_atom_site_fract_x
_atom_site_fract_y
_atom_site_fract_z
Na1 Na 0.000 0.000 0.000
As1 As 0.262 0.500 0.658
As2 As 0.738 0.500 0.342
Pd1 Pd 0.500 0.000 0.500
```

Properties
The space group is P2/m. The value obtained for the excess energy over the best structure of this formula in the dataset is 0.0000 eV/atom.


3.
A plane-wave DFT calculation with PBE was carried out for crystalline NaAs2Pd at its relaxed geometry.

Structure (CIF):
```
data_NaAs2Pd
_symmetry_space_group_name_H-M 'P 1'
_symmetry_Int_Tables_number 1
_symmetry_space_group_name_Hall 'P 1'
_cell_length_a 7.714
_cell_length_b 7.714
_cell_length_c 5.465
_cell_angle_alpha 90.00
_cell_angle_beta 90.00
_cell_angle_gamma 90.00
loop_
_atom_site_label
_atom_site_type_symbol
_atom_site_fract_x
_atom_site_fract_y
_atom_site_fract_z
Na1 Na 0.000 0.000 0.000
Na2 Na 0.000 0.500 0.250
Na3 Na 0.500 0.000 0.750
Na4 Na 0.500 0.500 0.500
As1 As 0.193 0.250 0.625
As2 As 0.250 0.693 0.875
As3 As 0.250 0.807 0.375
As4 As 0.307 0.250 0.125
As5 As 0.693 0.750 0.125
As6 As 0.750 0.193 0.375
As7 As 0.750 0.307 0.875
As8 As 0.807 0.750 0.625
Pd1 Pd 0.000 0.000 0.500
Pd2 Pd 0.000 0.500 0.750
Pd3 Pd 0.500 0.000 0.250
Pd4 Pd 0.500 0.500 0.000
```

Properties
The space group is I-42d. The value obtained for the excess energy over the best structure of this formula in the dataset is 0.1759 eV/atom.


4.
A plane-wave DFT calculation with PBE was carried out for crystalline NaAs2Pd at its relaxed geometry.

Structure (CIF):
```
data_NaAs2Pd
_symmetry_space_group_name_H-M 'P 1'
_symmetry_Int_Tables_number 1
_symmetry_space_group_name_Hall 'P 1'
_cell_length_a 4.038
_cell_length_b 4.038
_cell_length_c 18.529
_cell_angle_alpha 90.00
_cell_angle_beta 90.00
_cell_angle_gamma 120.00
loop_
_atom_site_label
_atom_site_type_symbol
_atom_site_fract_x
_atom_site_fract_y
_atom_site_fract_z
Na1 Na 0.000 0.000 0.000
Na2 Na 0.333 0.667 0.667
Na3 Na 0.667 0.333 0.333
As1 As 0.000 0.000 0.559
As2 As 0.000 0.000 0.781
As3 As 0.333 0.667 0.226
As4 As 0.333 0.667 0.447
As5 As 0.667 0.333 0.114
As6 As 0.667 0.333 0.893
Pd1 Pd 0.000 0.000 0.171
Pd2 Pd 0.333 0.667 0.838
Pd3 Pd 0.667 0.333 0.504
```

Properties
The space group is R3m. The value obtained for the excess energy over the best structure of this formula in the dataset is 0.0399 eV/atom.


5.
A plane-wave DFT calculation with PBE was carried out for crystalline Na2AsPd4 at its relaxed geometry.

Structure (CIF):
```
data_Na2AsPd4
_symmetry_space_group_name_H-M 'P 1'
_symmetry_Int_Tables_number 1
_symmetry_space_group_name_Hall 'P 1'
_cell_length_a 4.698
_cell_length_b 4.698
_cell_length_c 14.379
_cell_angle_alpha 90.00
_cell_angle_beta 90.00
_cell_angle_gamma 90.00
loop_
_atom_site_label
_atom_site_type_symbol
_atom_site_fract_x
_atom_site_fract_y
_atom_site_fract_z
Na1 Na 0.000 0.000 0.135
Na2 Na 0.000 0.000 0.865
Na3 Na 0.500 0.500 0.365
Na4 Na 0.500 0.500 0.635
As1 As 0.000 0.000 0.500
As2 As 0.500 0.500 0.000
Pd1 Pd 0.000 0.000 0.337
Pd2 Pd 0.000 0.000 0.663
Pd3 Pd 0.000 0.500 0.000
Pd4 Pd 0.000 0.500 0.500
Pd5 Pd 0.500 0.000 0.000
Pd6 Pd 0.500 0.000 0.500
Pd7 Pd 0.500 0.500 0.163
Pd8 Pd 0.500 0.500 0.837
```

Properties
The space group is I4/mmm.


6.
A plane-wave DFT calculation with PBE was carried out for crystalline Na5As3Pd3 at its relaxed geometry.

Structure (CIF):
```
data_Na5As3Pd3
_symmetry_space_group_name_H-M 'P 1'
_symmetry_Int_Tables_number 1
_symmetry_space_group_name_Hall 'P 1'
_cell_length_a 9.108
_cell_length_b 9.108
_cell_length_c 4.624
_cell_angle_alpha 90.00
_cell_angle_beta 90.00
_cell_angle_gamma 120.00
loop_
_atom_site_label
_atom_site_type_symbol
_atom_site_fract_x
_atom_site_fract_y
_atom_site_fract_z
Na1 Na 0.000 0.730 0.000
Na2 Na 0.270 0.270 0.000
Na3 Na 0.333 0.667 0.000
Na4 Na 0.667 0.333 0.000
Na5 Na 0.730 0.000 0.000
As1 As 0.000 0.364 0.000
As2 As 0.364 0.000 0.000
As3 As 0.636 0.636 0.000
Pd1 Pd 0.000 0.363 0.500
Pd2 Pd 0.363 0.000 0.500
Pd3 Pd 0.637 0.637 0.500
```

Properties
The space group is P-62m.


7.
A plane-wave DFT calculation with PBE was carried out for crystalline NaAs3Pd5 at its relaxed geometry.

Structure (CIF):
```
data_NaAs3Pd5
_symmetry_space_group_name_H-M 'P 1'
_symmetry_Int_Tables_number 1
_symmetry_space_group_name_Hall 'P 1'
_cell_length_a 6.936
_cell_length_b 6.936
_cell_length_c 12.969
_cell_angle_alpha 90.00
_cell_angle_beta 90.00
_cell_angle_gamma 147.06
loop_
_atom_site_label
_atom_site_type_symbol
_atom_site_fract_x
_atom_site_fract_y
_atom_site_fract_z
Na1 Na 0.139 0.861 0.750
Na2 Na 0.861 0.139 0.250
As1 As 0.121 0.879 0.250
As2 As 0.382 0.618 0.044
As3 As 0.382 0.618 0.456
As4 As 0.618 0.382 0.544
As5 As 0.618 0.382 0.956
As6 As 0.879 0.121 0.750
Pd1 Pd 0.000 0.000 0.000
Pd2 Pd 0.000 0.000 0.500
Pd3 Pd 0.202 0.798 0.069
Pd4 Pd 0.202 0.798 0.431
Pd5 Pd 0.444 0.556 0.644
Pd6 Pd 0.444 0.556 0.856
Pd7 Pd 0.556 0.444 0.144
Pd8 Pd 0.556 0.444 0.356
Pd9 Pd 0.798 0.202 0.569
Pd10 Pd 0.798 0.202 0.931
```

Properties
The space group is Cmcm.


8.
A plane-wave DFT calculation with PBE was carried out for crystalline NaAs3Pd3 at its relaxed geometry.

Structure (CIF):
```
data_NaAs3Pd3
_symmetry_space_group_name_H-M 'P 1'
_symmetry_Int_Tables_number 1
_symmetry_space_group_name_Hall 'P 1'
_cell_length_a 6.923
_cell_length_b 6.923
_cell_length_c 6.923
_cell_angle_alpha 90.00
_cell_angle_beta 90.00
_cell_angle_gamma 90.00
loop_
_atom_site_label
_atom_site_type_symbol
_atom_site_fract_x
_atom_site_fract_y
_atom_site_fract_z
Na1 Na 0.000 0.000 0.000
Na2 Na 0.500 0.500 0.500
As1 As 0.000 0.250 0.500
As2 As 0.000 0.750 0.500
As3 As 0.250 0.500 0.000
As4 As 0.500 0.000 0.250
As5 As 0.500 0.000 0.750
As6 As 0.750 0.500 0.000
Pd1 Pd 0.000 0.500 0.250
Pd2 Pd 0.000 0.500 0.750
Pd3 Pd 0.250 0.000 0.500
Pd4 Pd 0.500 0.250 0.000
Pd5 Pd 0.500 0.750 0.000
Pd6 Pd 0.750 0.000 0.500
```

Properties
The space group is Pm-3n. The value obtained for the excess energy over the best structure of this formula in the dataset is 0.0634 eV/atom.


9.
A plane-wave DFT calculation with PBE was carried out for crystalline NaAs2Pd at its relaxed geometry.

Structure (CIF):
```
data_NaAs2Pd
_symmetry_space_group_name_H-M 'P 1'
_symmetry_Int_Tables_number 1
_symmetry_space_group_name_Hall 'P 1'
_cell_length_a 4.194
_cell_length_b 5.633
_cell_length_c 8.127
_cell_angle_alpha 90.00
_cell_angle_beta 90.00
_cell_angle_gamma 90.00
loop_
_atom_site_label
_atom_site_type_symbol
_atom_site_fract_x
_atom_site_fract_y
_atom_site_fract_z
Na1 Na 0.000 0.000 0.000
Na2 Na 0.000 0.500 0.500
As1 As 0.500 0.206 0.732
As2 As 0.500 0.294 0.232
As3 As 0.500 0.706 0.232
As4 As 0.500 0.794 0.732
Pd1 Pd 0.500 0.000 0.455
Pd2 Pd 0.500 0.500 0.955
```

Properties
The space group is Amm2. The value obtained for the excess energy over the best structure of this formula in the dataset is 0.1619 eV/atom.


10.
A plane-wave DFT calculation with PBE was carried out for crystalline Na6As2Pd at its relaxed geometry.

Structure (CIF):
```
data_Na6As2Pd
_symmetry_space_group_name_H-M 'P 1'
_symmetry_Int_Tables_number 1
_symmetry_space_group_name_Hall 'P 1'
_cell_length_a 9.917
_cell_length_b 9.917
_cell_length_c 9.917
_cell_angle_alpha 29.72
_cell_angle_beta 29.72
_cell_angle_gamma 29.72
loop_
_atom_site_label
_atom_site_type_symbol
_atom_site_fract_x
_atom_site_fract_y
_atom_site_fract_z
Na1 Na 0.081 0.081 0.081
Na2 Na 0.200 0.200 0.200
Na3 Na 0.308 0.308 0.308
Na4 Na 0.692 0.692 0.692
Na5 Na 0.800 0.800 0.800
Na6 Na 0.919 0.919 0.919
As1 As 0.412 0.412 0.412
As2 As 0.588 0.588 0.588
Pd1 Pd 0.500 0.500 0.500
```

Properties
The space group is R-3m.


11.
A plane-wave DFT calculation with PBE was carried out for crystalline NaAs4Pd6 at its relaxed geometry.

Structure (CIF):
```
data_NaAs4Pd6
_symmetry_space_group_name_H-M 'P 1'
_symmetry_Int_Tables_number 1
_symmetry_space_group_name_Hall 'P 1'
_cell_length_a 7.497
_cell_length_b 7.497
_cell_length_c 3.856
_cell_angle_alpha 90.00
_cell_angle_beta 90.00
_cell_angle_gamma 120.00
loop_
_atom_site_label
_atom_site_type_symbol
_atom_site_fract_x
_atom_site_fract_y
_atom_site_fract_z
Na1 Na 0.000 0.000 0.000
As1 As 0.333 0.667 0.000
As2 As 0.367 0.184 0.500
As3 As 0.816 0.184 0.500
As4 As 0.816 0.633 0.500
Pd1 Pd 0.198 0.396 0.500
Pd2 Pd 0.198 0.802 0.500
Pd3 Pd 0.537 0.073 0.000
Pd4 Pd 0.537 0.463 0.000
Pd5 Pd 0.604 0.802 0.500
Pd6 Pd 0.927 0.463 0.000
```

Properties
The space group is P-6m2. The value obtained for the excess energy over the best structure of this formula in the dataset is 0.0000 eV/atom.


12.
A plane-wave DFT calculation with PBE was carried out for crystalline Na2AsPd2 at its relaxed geometry.

Structure (CIF):
```
data_Na2AsPd2
_symmetry_space_group_name_H-M 'P 1'
_symmetry_Int_Tables_number 1
_symmetry_space_group_name_Hall 'P 1'
_cell_length_a 5.579
_cell_length_b 5.579
_cell_length_c 7.713
_cell_angle_alpha 99.43
_cell_angle_beta 99.43
_cell_angle_gamma 63.21
loop_
_atom_site_label
_atom_site_type_symbol
_atom_site_fract_x
_atom_site_fract_y
_atom_site_fract_z
Na1 Na 0.031 0.268 0.155
Na2 Na 0.268 0.031 0.655
Na3 Na 0.732 0.969 0.345
Na4 Na 0.969 0.732 0.845
As1 As 0.401 0.599 0.250
As2 As 0.599 0.401 0.750
Pd1 Pd 0.243 0.505 0.499
Pd2 Pd 0.495 0.757 0.001
Pd3 Pd 0.505 0.243 0.999
Pd4 Pd 0.757 0.495 0.501
```

Properties
The space group is C2/c. The value obtained for the excess energy over the best structure of this formula in the dataset is 0.0000 eV/atom.


The following energy values (in eV per atom) correspond, in order, to the records above: -3.037; -4.304; -4.128; -4.264; -3.961; -3.455; -4.982; -4.573; -4.142; -2.896; -5.043; -3.932.
The following calculated formation energy values (in kcal/mol of atoms) correspond, in order, to the records above: -0.6; -8.1; -4.0; -7.2; 1.1; -3.9; -9.2; -3.8; -4.4; -9.4; -9.2; -9.2.